Record 1
This record from the Alexandria database describes a relaxed KCuI2Cl crystal. The functional is PBE.

Computed properties:
ΔE_f (raw) in eV/atom: -0.7235

a = 5.6428 Å, b = 5.6428 Å, c = 4.8241 Å
α = 90.00°, β = 90.00°, γ = 90.00°
Atoms (fractional coordinates):
K: 0.0000 0.0000 0.0000
Cu: 0.5000 0.5000 0.5000
I: 0.0000 0.5000 0.5000
I: 0.5000 0.0000 0.5000
Cl: 0.5000 0.5000 0.0000

***

Record 2
This record from the Alexandria database describes a relaxed ScPaRe4 crystal. The functional is PBE.

a = 5.3773 Å, b = 5.3773 Å, c = 5.3773 Å
α = 60.00°, β = 60.00°, γ = 60.00°
Atoms (fractional coordinates):
Sc: 0.0000 0.0000 0.0000
Pa: 0.7500 0.7500 0.7500
Re: 0.3744 0.3744 0.3744
Re: 0.3744 0.3744 0.8767
Re: 0.3744 0.8767 0.3744
Re: 0.8767 0.3744 0.3744

***

Record 3
This record from the Alexandria database describes a relaxed In2As2Au crystal. The functional is PBE.

Computed properties:
E above lowest polymorph in eV per atom: 0.000

a = 8.9396 Å, b = 8.9396 Å, c = 8.9396 Å
α = 156.08°, β = 156.08°, γ = 34.08°
Atoms (fractional coordinates):
In: 0.0953 0.0953 0.0000
In: 0.9047 0.9047 0.0000
As: 0.2500 0.7500 0.5000
As: 0.7500 0.2500 0.5000
Au: 0.5000 0.5000 0.0000

***

Record 4
This record from the Alexandria database describes a relaxed Cs2SmBr6 crystal. The functional is PBE.

Computed properties:
ΔE_f (raw) in eV/atom: -1.5495

a = 4.6517 Å, b = 9.1469 Å, c = 9.1469 Å
α = 120.05°, β = 90.00°, γ = 90.00°
Atoms (fractional coordinates):
Cs: 0.0000 0.1668 0.8332
Cs: 0.0000 0.8332 0.1668
Sm: 0.5000 0.5007 0.5007
Br: 0.0000 0.2771 0.5002
Br: 0.0000 0.5002 0.2771
Br: 0.0000 0.7240 0.7240
Br: 0.5000 0.1671 0.1671
Br: 0.5000 0.4998 0.8337
Br: 0.5000 0.8337 0.4998

***

Record 5
This record from the Alexandria database describes a relaxed CaZrP2H crystal. The functional is PBE.

Computed properties:
E above lowest polymorph in eV per atom: 0.000

a = 5.0436 Å, b = 5.0436 Å, c = 4.0026 Å
α = 90.00°, β = 90.00°, γ = 90.00°
Atoms (fractional coordinates):
Ca: 0.0000 0.0000 0.0000
Zr: 0.5000 0.5000 0.5000
P: 0.0000 0.5000 0.5000
P: 0.5000 0.0000 0.5000
H: 0.5000 0.5000 0.0000

***

Record 6
This record from the Alexandria database describes a relaxed Pr6Sb3TeP2 crystal. The functional is PBE.

Computed properties:
ΔE_f (raw) in eV/atom: -1.3430

a = 9.9085 Å, b = 9.9085 Å, c = 8.9228 Å
α = 102.88°, β = 102.88°, γ = 25.78°
Atoms (fractional coordinates):
Pr: 0.0093 0.0093 0.2602
Pr: 0.3278 0.3278 0.4283
Pr: 0.3285 0.3285 0.8968
Pr: 0.6715 0.6715 0.1032
Pr: 0.6722 0.6722 0.5717
Pr: 0.9907 0.9907 0.7398
Sb: 0.1622 0.1622 0.8327
Sb: 0.5000 0.5000 0.5000
Sb: 0.8378 0.8378 0.1673
Te: 0.5000 0.5000 0.0000
P: 0.1687 0.1687 0.3354
P: 0.8313 0.8313 0.6646

***

Record 7
This record from the Alexandria database describes a relaxed HoThCd4 crystal. The functional is PBE.

Computed properties:
E above lowest polymorph in eV per atom: 0.068

a = 5.9441 Å, b = 5.9441 Å, c = 5.9441 Å
α = 60.00°, β = 60.00°, γ = 60.00°
Atoms (fractional coordinates):
Ho: 0.0000 0.0000 0.0000
Th: 0.2500 0.2500 0.2500
Cd: 0.1239 0.6254 0.6254
Cd: 0.6254 0.1239 0.6254
Cd: 0.6254 0.6254 0.1239
Cd: 0.6254 0.6254 0.6254

***

Record 8
This record from the Alexandria database describes a relaxed ScTlCd crystal. The functional is PBE.

a = 6.7107 Å, b = 6.7107 Å, c = 6.7107 Å
α = 151.00°, β = 151.00°, γ = 41.48°
Atoms (fractional coordinates):
Sc: 0.0000 0.0000 0.0000
Tl: 0.3329 0.3329 0.0000
Cd: 0.6587 0.6587 0.0000

***

Record 9
This record from the Alexandria database describes a relaxed Mg2PRh crystal. The functional is PBE.

a = 5.7289 Å, b = 5.7289 Å, c = 5.7289 Å
α = 102.28°, β = 102.28°, γ = 125.07°
Atoms (fractional coordinates):
Mg: 0.1074 0.6250 0.9824
Mg: 0.3750 0.3574 0.4824
Mg: 0.6426 0.1250 0.0176
Mg: 0.8750 0.8926 0.5176
P: 0.0000 0.0000 0.0000
P: 0.7500 0.2500 0.5000
Rh: 0.2500 0.7500 0.5000
Rh: 0.5000 0.5000 0.0000

***

Record 10
This record from the Alexandria database describes a relaxed Hg3SbO crystal. The functional is PBE.

Computed properties:
E above lowest polymorph in eV per atom: 0.366
ΔE_f (raw) in eV/atom: 0.6301

a = 5.6627 Å, b = 5.6627 Å, c = 5.6627 Å
α = 90.00°, β = 90.00°, γ = 90.00°
Atoms (fractional coordinates):
Hg: 0.0000 0.0000 0.5000
Hg: 0.0000 0.5000 0.0000
Hg: 0.5000 0.0000 0.0000
Sb: 0.0000 0.0000 0.0000
O: 0.5000 0.5000 0.5000

***

Record 11
This record from the Alexandria database describes a relaxed AcTh2MnN5 crystal. The functional is PBE.

Computed properties:
ΔE_f (raw) in eV/atom: -1.2612

a = 7.4927 Å, b = 7.4927 Å, c = 7.4927 Å
α = 125.55°, β = 125.55°, γ = 80.63°
Atoms (fractional coordinates):
Ac: 0.2500 0.2500 0.0000
Ac: 0.7500 0.7500 0.0000
Th: 0.1768 0.6768 0.8535
Th: 0.3232 0.1768 0.5000
Th: 0.6768 0.8232 0.5000
Th: 0.8232 0.3232 0.1465
Mn: 0.2500 0.7500 0.5000
Mn: 0.7500 0.2500 0.5000
N: 0.0000 0.0000 0.0000
N: 0.0033 0.7799 0.5000
N: 0.2201 0.7201 0.2234
N: 0.2799 0.5033 0.5000
N: 0.4967 0.9967 0.7766
N: 0.5000 0.5000 0.0000
N: 0.5033 0.0033 0.2234
N: 0.7201 0.4967 0.5000
N: 0.7799 0.2799 0.7766
N: 0.9967 0.2201 0.5000

***

Record 12
This record from the Alexandria database describes a relaxed Ac3Al4Zn4 crystal. The functional is PBE.

a = 4.3612 Å, b = 4.5320 Å, c = 13.8520 Å
α = 99.36°, β = 99.06°, γ = 90.06°
Atoms (fractional coordinates):
Ac: 0.0000 0.0000 0.0000
Ac: 0.1506 0.6508 0.3011
Ac: 0.8494 0.3492 0.6989
Al: 0.2502 0.2500 0.5008
Al: 0.4037 0.9018 0.8044
Al: 0.5963 0.0982 0.1956
Al: 0.7498 0.7500 0.4992
Zn: 0.3053 0.8043 0.6095
Zn: 0.4511 0.4500 0.9002
Zn: 0.5489 0.5500 0.0998
Zn: 0.6947 0.1957 0.3905

***

Record 13
This record from the Alexandria database describes a relaxed YMoOs2Au crystal. The functional is PBE.

a = 4.8226 Å, b = 4.8226 Å, c = 4.8432 Å
α = 90.00°, β = 90.00°, γ = 90.00°
Atoms (fractional coordinates):
Y: 0.0000 0.0000 0.0000
Mo: 0.0000 0.0000 0.5000
Os: 0.0000 0.5000 0.0000
Os: 0.5000 0.0000 0.0000
Au: 0.5000 0.5000 0.5000

***

Record 14
This record from the Alexandria database describes a relaxed InGa2HgCl6 crystal. The functional is PBE.

Computed properties:
ΔE_f (raw) in eV/atom: -0.8155

a = 9.8282 Å, b = 9.8282 Å, c = 7.9037 Å
α = 101.60°, β = 101.60°, γ = 86.47°
Atoms (fractional coordinates):
In: 0.1408 0.8592 0.7500
In: 0.8592 0.1408 0.2500
Ga: 0.2090 0.3580 0.7181
Ga: 0.3580 0.2090 0.2181
Ga: 0.6420 0.7910 0.7819
Ga: 0.7910 0.6420 0.2819
Hg: 0.2789 0.7211 0.2500
Hg: 0.7211 0.2789 0.7500
Cl: 0.0702 0.5451 0.7570
Cl: 0.0818 0.1649 0.6278
Cl: 0.1649 0.0818 0.1278
Cl: 0.3370 0.3561 0.4902
Cl: 0.3561 0.3370 0.9902
Cl: 0.4549 0.9298 0.7430
Cl: 0.5451 0.0702 0.2570
Cl: 0.6439 0.6630 0.0098
Cl: 0.6630 0.6439 0.5098
Cl: 0.8351 0.9182 0.8722
Cl: 0.9182 0.8351 0.3722
Cl: 0.9298 0.4549 0.2430

***

Record 15
This record from the Alexandria database describes a relaxed CaPm2Fe crystal. The functional is PBE.

Computed properties:
E above lowest polymorph in eV per atom: 0.000

a = 3.5399 Å, b = 3.5399 Å, c = 9.4189 Å
α = 90.00°, β = 90.00°, γ = 90.00°
Atoms (fractional coordinates):
Ca: 0.0000 0.0000 0.0000
Pm: 0.5000 0.5000 0.3242
Pm: 0.5000 0.5000 0.6758
Fe: 0.0000 0.0000 0.5000

***

Record 16
This record from the Alexandria database describes a relaxed Pm3Pr4Pd4 crystal. The functional is PBE.

a = 9.2405 Å, b = 9.2405 Å, c = 9.2405 Å
α = 149.24°, β = 130.47°, γ = 59.44°
Atoms (fractional coordinates):
Pm: 0.0000 0.0000 0.0000
Pm: 0.4015 0.9015 0.5000
Pm: 0.5985 0.0985 0.5000
Pr: 0.0521 0.3309 0.7212
Pr: 0.3903 0.6691 0.7212
Pr: 0.6097 0.3309 0.2788
Pr: 0.9479 0.6691 0.2788
Pd: 0.2003 0.2003 0.0000
Pd: 0.3196 0.5000 0.8196
Pd: 0.6804 0.5000 0.1804
Pd: 0.7997 0.7997 0.0000

***

Record 17
This record from the Alexandria database describes a relaxed SiSbTe2Br crystal. The functional is PBE.

Computed properties:
E above lowest polymorph in eV per atom: 0.743
ΔE_f (raw) in eV/atom: 1.1897

a = 5.5753 Å, b = 5.5753 Å, c = 5.5209 Å
α = 90.00°, β = 90.00°, γ = 90.00°
Atoms (fractional coordinates):
Si: 0.0000 0.0000 0.0000
Sb: 0.5000 0.5000 0.0000
Te: 0.0000 0.5000 0.5000
Te: 0.5000 0.0000 0.5000
Br: 0.5000 0.5000 0.5000

***

Record 18
This record from the Alexandria database describes a relaxed TbY4Er5 crystal. The functional is PBE.

Computed properties:
E above lowest polymorph in eV per atom: 0.000

a = 3.5430 Å, b = 6.7047 Å, c = 13.9581 Å
α = 97.87°, β = 91.63°, γ = 104.67°
Atoms (fractional coordinates):
Tb: 0.0000 0.0000 0.0000
Y: 0.1422 0.8175 0.2155
Y: 0.1568 0.7154 0.8059
Y: 0.8432 0.2846 0.1941
Y: 0.8578 0.1825 0.7845
Er: 0.1961 0.8774 0.5831
Er: 0.4768 0.4226 0.6130
Er: 0.5000 0.5000 0.0000
Er: 0.5232 0.5774 0.3870
Er: 0.8039 0.1226 0.4169

***

Record 19
This record from the Alexandria database describes a relaxed LiTmNp2Te5 crystal. The functional is PBE.

Computed properties:
ΔE_f (raw) in eV/atom: -0.8521

a = 9.4918 Å, b = 9.4918 Å, c = 13.0824 Å
α = 90.00°, β = 90.00°, γ = 153.58°
Atoms (fractional coordinates):
Li: 0.0601 0.9399 0.5000
Li: 0.9399 0.0601 0.0000
Tm: 0.3013 0.6987 0.0503
Tm: 0.6987 0.3013 0.5503
Np: 0.3748 0.6252 0.3422
Np: 0.3926 0.6074 0.7227
Np: 0.6074 0.3926 0.2227
Np: 0.6252 0.3748 0.8422
Te: 0.0018 0.9982 0.8187
Te: 0.1376 0.8624 0.0402
Te: 0.1904 0.8096 0.3860
Te: 0.2158 0.7842 0.7107
Te: 0.4533 0.5467 0.1115
Te: 0.5467 0.4533 0.6115
Te: 0.7842 0.2158 0.2107
Te: 0.8096 0.1904 0.8860
Te: 0.8624 0.1376 0.5402
Te: 0.9982 0.0018 0.3187

***

Record 20
This record from the Alexandria database describes a relaxed CsV3Tc crystal. The functional is PBE.

Computed properties:
E above lowest polymorph in eV per atom: 1.616

a = 4.6635 Å, b = 4.6635 Å, c = 4.6635 Å
α = 90.00°, β = 90.00°, γ = 90.00°
Atoms (fractional coordinates):
Cs: 0.0000 0.0000 0.0000
V: 0.0000 0.0000 0.5000
V: 0.0000 0.5000 0.0000
V: 0.5000 0.0000 0.0000
Tc: 0.5000 0.5000 0.5000

***

| no. | DFT total energy (eV/atom) |
| --- | --- |
| 1 | -2.7517 |
| 2 | -11.0833 |
| 3 | -3.5540 |
| 4 | -3.3787 |
| 5 | -5.5566 |
| 6 | -5.9268 |
| 7 | -2.7801 |
| 8 | -3.3251 |
| 9 | -4.0769 |
| 10 | -1.3671 |
| 11 | -9.0106 |
| 12 | -3.2963 |
| 13 | -5.8210 |
| 14 | -2.8329 |
| 15 | -4.8574 |
| 16 | -5.3881 |
| 17 | -2.3106 |
| 18 | -5.2701 |
| 19 | -6.1827 |
| 20 | -4.7777 |